First-principles (PBE) data for a relaxed structure of Li2Ca2TlO4, as listed in Alexandria via LeMat-Bulk.

Spin magnetization (Bohr magnetons per cell): 0.0
Crystal system: monoclinic
Formation energy (no corrections) (meV/atom): -1830

```
data_Li2Ca2TlO4
_chemical_formula_sum 'Li4 Ca4 Tl2 O8'
_symmetry_space_group_name_H-M 'C 1 2/m 1'
_symmetry_Int_Tables_number 12
_cell_length_a 13.0025
_cell_length_b 3.2497
_cell_length_c 6.6046
_cell_angle_alpha 90.00
_cell_angle_beta 120.07
_cell_angle_gamma 90.00
loop_
_symmetry_equiv_pos_as_xyz
'x,y,z'
'-x,-y,-z'
'-x,y,-z'
'x,-y,z'
'x+1/2,y+1/2,z'
'-x+1/2,-y+1/2,-z'
'-x+1/2,y+1/2,-z'
'x+1/2,-y+1/2,z'
loop_
_atom_site_label
_atom_site_type_symbol
_atom_site_fract_x
_atom_site_fract_y
_atom_site_fract_z
Li1 Li 0.1731 0.0000 0.4817
Ca1 Ca 0.1310 0.5000 0.0640
Tl1 Tl 0.0000 0.5000 0.5000
O1 O 0.0070 0.0000 0.2085
O2 O 0.2356 0.5000 0.6974
```